1.
# P2CSe

P2CSe after structural relaxation (PBE, Alexandria).

Values from the calculation:
As for the formation energy (no corrections): 0.763 eV per atom. The calculation puts the calculated total energy at -40.953 eV/cell. The volume comes out at 60.1 Å³/f.u. The value obtained for the energy above the most stable polymorph in this dataset is 0 meV per atom. The total magnetization comes out at 0.0 μB/cell. For the density, the calculation gives 4.22 g cm⁻³.

Cell lengths 5.4559, 5.4559, 5.4559 Å; angles 116.44, 116.44, 96.28 degrees
Sites, in units of the cell vectors:
1 P 0.0332 0.6250 0.9082
2 P 0.3750 0.2832 0.4082
3 P 0.7168 0.1250 0.0918
4 P 0.8750 0.9668 0.5918
5 C 0.0000 0.0000 0.0000
6 C 0.7500 0.2500 0.5000
7 Se 0.2500 0.7500 0.5000
8 Se 0.5000 0.5000 0.0000

2.
# P2CSe

P2CSe after structural relaxation (PBE, Alexandria).

Values from the calculation:
As for the formation energy (no corrections): 1.818 eV per atom. The calculation puts the calculated total energy at -16.254 eV/cell. The volume comes out at 55.7 Å³/f.u. The value obtained for the energy above the most stable polymorph in this dataset is 1056 meV per atom. The total magnetization comes out at 0.0 μB/cell. For the density, the calculation gives 4.56 g cm⁻³.

Cell lengths 4.2872, 4.2872, 4.2872 Å; angles 60.00, 60.00, 60.00 degrees
Sites, in units of the cell vectors:
1 P 0.2500 0.2500 0.2500
2 P 0.7500 0.7500 0.7500
3 C 0.0000 0.0000 0.0000
4 Se 0.5000 0.5000 0.5000

3.
# PCSe3

PCSe3 after structural relaxation (PBE, Alexandria).

Values from the calculation:
As for the formation energy (no corrections): 1.815 eV per atom. The calculation puts the calculated total energy at -16.013 eV/cell. The volume comes out at 110.7 Å³/f.u. The value obtained for the energy above the most stable polymorph in this dataset is 527 meV per atom. The total magnetization comes out at 0.5 μB/cell. For the density, the calculation gives 4.20 g cm⁻³.

Cell lengths 4.8022, 4.8022, 4.8022 Å; angles 90.00, 90.00, 90.00 degrees
Sites, in units of the cell vectors:
1 P 0.0000 0.0000 0.0000
2 C 0.5000 0.5000 0.5000
3 Se 0.0000 0.0000 0.5000
4 Se 0.0000 0.5000 0.0000
5 Se 0.5000 0.0000 0.0000

4.
# Sm4PCSe2

Sm4PCSe2 after structural relaxation (PBE, Alexandria).

Values from the calculation:
As for the formation energy (no corrections): -1.416 eV per atom. The calculation puts the calculated total energy at -51.811 eV/cell. The volume comes out at 189.0 Å³/f.u. The total magnetization comes out at 0.0 μB/cell. For the density, the calculation gives 7.05 g cm⁻³.

Cell lengths 6.9795, 3.9951, 7.1541 Å; angles 90.00, 108.69, 90.00 degrees
Sites, in units of the cell vectors:
1 Sm 0.2223 0.0000 0.2136
2 Sm 0.2408 0.5000 0.7788
3 Sm 0.7592 0.5000 0.2212
4 Sm 0.7777 0.0000 0.7864
5 P 0.5000 0.0000 0.0000
6 C 0.0000 0.5000 0.0000
7 Se 0.0000 0.0000 0.5000
8 Se 0.5000 0.5000 0.5000